Entry 1:
# Mg2GeN (PBE-GGA, optimized geometry)
data_Mg2GeN
_cell_length_a 4.4360
_cell_length_b 4.4360
_cell_length_c 4.4360
_cell_angle_alpha 60.00
_cell_angle_beta 60.00
_cell_angle_gamma 60.00
_symmetry_space_group_name_H-M 'P 1'
_symmetry_Int_Tables_number 1
_symmetry_space_group_name_Hall 'P 1'
loop_
_atom_site_label
_atom_site_fract_x
_atom_site_fract_y
_atom_site_fract_z
Mg1 0.2500 0.2500 0.2500
Mg2 0.7500 0.7500 0.7500
Ge1 0.0000 0.0000 0.0000
N1 0.5000 0.5000 0.5000
# **Energy above the lowest structure with this stoichiometry**: 2.57 eV per formula unit
# **Spin magnetization**: 0.000 μB/atom
# **Final energy**: -3.498 eV/atom
# **SG**: Fm-3m, No. 225
# **Raw formation energy**: 0.54 eV/atom

Entry 2:
# MgGeN2 (PBE-GGA, optimized geometry)
data_MgGeN2
_cell_length_a 3.2443
_cell_length_b 3.2443
_cell_length_c 5.4120
_cell_angle_alpha 90.00
_cell_angle_beta 90.00
_cell_angle_gamma 120.00
_symmetry_space_group_name_H-M 'P 1'
_symmetry_Int_Tables_number 1
_symmetry_space_group_name_Hall 'P 1'
loop_
_atom_site_label
_atom_site_fract_x
_atom_site_fract_y
_atom_site_fract_z
Mg1 0.0000 0.0000 0.0000
Ge1 0.6667 0.3333 0.5400
N1 0.0000 0.0000 0.4003
N2 0.6667 0.3333 0.8670
# **Spin magnetization**: 0.000 μB/atom
# **Final energy**: -6.090 eV/atom
# **SG**: P3m1, No. 156
# **Raw formation energy**: -0.37 eV/atom

Entry 3:
# MgGe2N (PBE-GGA, optimized geometry)
data_MgGe2N
_cell_length_a 5.6813
_cell_length_b 5.6813
_cell_length_c 5.6813
_cell_angle_alpha 114.24
_cell_angle_beta 114.24
_cell_angle_gamma 100.30
_symmetry_space_group_name_H-M 'P 1'
_symmetry_Int_Tables_number 1
_symmetry_space_group_name_Hall 'P 1'
loop_
_atom_site_label
_atom_site_fract_x
_atom_site_fract_y
_atom_site_fract_z
Mg1 0.0000 0.0000 0.0000
Mg2 0.7500 0.2500 0.5000
Ge1 0.2132 0.6250 0.0882
Ge2 0.3750 0.4632 0.5882
Ge3 0.5368 0.1250 0.9118
Ge4 0.8750 0.7868 0.4118
N1 0.2500 0.7500 0.5000
N2 0.5000 0.5000 0.0000
# **Spin magnetization**: 0.000 μB/atom
# **Final energy**: -4.459 eV/atom
# **SG**: I-42d, No. 122
# **Raw formation energy**: 0.33 eV/atom

Entry 4:
# MgGeN3 (PBE-GGA, optimized geometry)
data_MgGeN3
_cell_length_a 3.8069
_cell_length_b 3.8069
_cell_length_c 3.8069
_cell_angle_alpha 90.00
_cell_angle_beta 90.00
_cell_angle_gamma 90.00
_symmetry_space_group_name_H-M 'P 1'
_symmetry_Int_Tables_number 1
_symmetry_space_group_name_Hall 'P 1'
loop_
_atom_site_label
_atom_site_fract_x
_atom_site_fract_y
_atom_site_fract_z
Mg1 0.0000 0.0000 0.0000
Ge1 0.5000 0.5000 0.5000
N1 0.0000 0.5000 0.5000
N2 0.5000 0.0000 0.5000
N3 0.5000 0.5000 0.0000
# **Spin magnetization**: 0.360 μB/atom
# **Final energy**: -5.246 eV/atom
# **SG**: Pm-3m, No. 221
# **Raw formation energy**: 0.99 eV/atom

Entry 5:
# NdMg2GeN4 (PBE-GGA, optimized geometry)
data_NdMg2GeN4
_cell_length_a 5.2223
_cell_length_b 5.2223
_cell_length_c 5.2223
_cell_angle_alpha 116.61
_cell_angle_beta 116.61
_cell_angle_gamma 95.98
_symmetry_space_group_name_H-M 'P 1'
_symmetry_Int_Tables_number 1
_symmetry_space_group_name_Hall 'P 1'
loop_
_atom_site_label
_atom_site_fract_x
_atom_site_fract_y
_atom_site_fract_z
Nd1 0.0000 0.0000 0.0000
Mg1 0.2500 0.7500 0.5000
Mg2 0.7500 0.2500 0.5000
Ge1 0.5000 0.5000 0.0000
N1 0.1514 0.1514 0.5869
N2 0.4355 0.8486 0.0000
N3 0.5645 0.5645 0.4131
N4 0.8486 0.4355 0.0000
# **Spin magnetization**: 0.115 μB/atom
# **Final energy**: -6.307 eV/atom
# **SG**: I-42m, No. 121
# **Raw formation energy**: -0.57 eV/atom

Entry 6:
# NdMgGeN3 (PBE-GGA, optimized geometry)
data_NdMgGeN3
_cell_length_a 5.9277
_cell_length_b 3.2939
_cell_length_c 8.4867
_cell_angle_alpha 90.00
_cell_angle_beta 96.55
_cell_angle_gamma 90.00
_symmetry_space_group_name_H-M 'P 1'
_symmetry_Int_Tables_number 1
_symmetry_space_group_name_Hall 'P 1'
loop_
_atom_site_label
_atom_site_fract_x
_atom_site_fract_y
_atom_site_fract_z
Nd1 0.1870 0.2500 0.3360
Nd2 0.8130 0.7500 0.6640
Mg1 0.2020 0.7500 0.9980
Mg2 0.7980 0.2500 0.0020
Ge1 0.3069 0.2500 0.7104
Ge2 0.6931 0.7500 0.2896
N1 0.0884 0.2500 0.8538
N2 0.2384 0.7500 0.5783
N3 0.3983 0.7500 0.2080
N4 0.6017 0.2500 0.7920
N5 0.7616 0.2500 0.4217
N6 0.9116 0.7500 0.1462
# **Spin magnetization**: 0.000 μB/atom
# **Final energy**: -6.700 eV/atom
# **SG**: P2_1/m, No. 11
# **Raw formation energy**: -0.71 eV/atom

Entry 7:
# MgNi2GeN (PBE-GGA, optimized geometry)
data_MgNi2GeN
_cell_length_a 3.8037
_cell_length_b 3.8037
_cell_length_c 4.5453
_cell_angle_alpha 90.00
_cell_angle_beta 90.00
_cell_angle_gamma 90.00
_symmetry_space_group_name_H-M 'P 1'
_symmetry_Int_Tables_number 1
_symmetry_space_group_name_Hall 'P 1'
loop_
_atom_site_label
_atom_site_fract_x
_atom_site_fract_y
_atom_site_fract_z
Mg1 0.0000 0.0000 0.0000
Ni1 0.0000 0.5000 0.5000
Ni2 0.5000 0.0000 0.5000
Ge1 0.5000 0.5000 0.0000
N1 0.5000 0.5000 0.5000
# **Spin magnetization**: 0.000 μB/atom
# **Final energy**: -5.083 eV/atom
# **SG**: P4/mmm, No. 123
# **Raw formation energy**: 0.14 eV/atom

Entry 8:
# MgGeNO2 (PBE-GGA, optimized geometry)
data_MgGeNO2
_cell_length_a 3.9049
_cell_length_b 3.9049
_cell_length_c 4.1398
_cell_angle_alpha 90.00
_cell_angle_beta 90.00
_cell_angle_gamma 90.00
_symmetry_space_group_name_H-M 'P 1'
_symmetry_Int_Tables_number 1
_symmetry_space_group_name_Hall 'P 1'
loop_
_atom_site_label
_atom_site_fract_x
_atom_site_fract_y
_atom_site_fract_z
Mg1 0.0000 0.0000 0.0000
Ge1 0.5000 0.5000 0.5000
N1 0.0000 0.0000 0.5000
O1 0.0000 0.5000 0.0000
O2 0.5000 0.0000 0.0000
# **Spin magnetization**: 0.600 μB/atom
# **Final energy**: -4.807 eV/atom
# **SG**: P4/mmm, No. 123
# **Raw formation energy**: 0.08 eV/atom

Which formula does entry 1 have?
Mg2GeN